--- i ---
VASP calculation (PBE) on crystalline Sr2TaOs at its relaxed geometry.

Properties
As for the density of states at the Fermi level: 3.862 states/eV/f.u.

Cell lengths 6.056, 6.056, 3.001 Å; angles 90.15, 90.15, 123.41 degrees
Fractional positions:
Sr (0.000, 0.500, 0.000)
Sr (0.500, 0.000, 0.000)
Ta (0.000, 0.000, 0.500)
Os (0.500, 0.500, 0.500)


--- ii ---
VASP calculation (PBE) on crystalline Sr2TaOs at its relaxed geometry.

Properties
As for the density of states at the Fermi level: 4.740 states/eV/f.u.

Cell lengths 10.977, 10.977, 10.977 Å; angles 16.68, 16.68, 16.68 degrees
Fractional positions:
Sr (0.241, 0.241, 0.241)
Sr (0.759, 0.759, 0.759)
Ta (0.000, 0.000, 0.000)
Os (0.500, 0.500, 0.500)


--- iii ---
VASP calculation (PBE) on crystalline Sr2TaOs at its relaxed geometry.

Properties
As for the density of states at the Fermi level: 2.450 states/eV/f.u.

Cell lengths 6.152, 6.152, 6.152 Å; angles 141.23, 141.23, 55.99 degrees
Fractional positions:
Sr (0.250, 0.750, 0.500)
Sr (0.750, 0.250, 0.500)
Ta (0.000, 0.000, 0.000)
Os (0.500, 0.500, 0.000)


--- iv ---
VASP calculation (PBE) on crystalline Sr2TaOs at its relaxed geometry.

Properties
As for the density of states at the Fermi level: 5.689 states/eV/f.u.

Cell lengths 5.268, 5.268, 5.268 Å; angles 60.00, 60.00, 60.00 degrees
Fractional positions:
Sr (0.250, 0.250, 0.250)
Sr (0.750, 0.750, 0.750)
Ta (0.000, 0.000, 0.000)
Os (0.500, 0.500, 0.500)


Stability, highest: iii


--- i ---
VASP calculation (PBE) on crystalline Sr2TaOs at its relaxed geometry.

Properties
As for the density of states at the Fermi level: 2.925 states/eV/f.u.

Cell lengths 4.078, 4.078, 5.452 Å; angles 90.00, 90.00, 90.00 degrees
Fractional positions:
Sr (0.000, 0.500, 0.000)
Sr (0.500, 0.000, 0.000)
Ta (0.000, 0.000, 0.500)
Os (0.500, 0.500, 0.500)


--- ii ---
VASP calculation (PBE) on crystalline Sr2TaOs at its relaxed geometry.

Properties
As for the density of states at the Fermi level: 5.160 states/eV/f.u.

Cell lengths 3.015, 3.015, 10.513 Å; angles 90.00, 90.00, 90.00 degrees
Fractional positions:
Sr (0.000, 0.000, 0.224)
Sr (0.000, 0.000, 0.776)
Ta (0.500, 0.500, 0.500)
Os (0.500, 0.500, 0.000)


Stability, highest: i